# 1
# EuInGa

A relaxed structure of EuInGa (PBE, Alexandria via LeMat-Bulk).

POSCAR file:
```
EuInGa
1.0
3.772 0.000 0.000
0.000 4.845 0.000
0.000 -2.422 4.196
Ga Eu In
1 1 1
direct
0.165 0.000 0.000
0.667 0.667 0.333
0.168 0.333 0.667
```

Properties
Size of the total moment = 7.32 μB per cell
Offset from the most stable computed form = 0 meV/atom
Crystal system = trigonal
E_form = -0.45 eV/atom
Symmetry = P3m1 (156)

***

# 2
# La3NdEr7

A relaxed structure of La3NdEr7 (PBE, Alexandria via LeMat-Bulk).

POSCAR file:
```
La3NdEr7
1.0
6.689 0.445 -0.088
0.886 8.540 1.074
-0.504 0.215 6.538
La Er Nd
3 7 1
direct
0.940 0.161 0.801
0.060 0.839 0.199
0.500 0.000 0.000
0.294 0.146 0.440
0.777 0.214 0.279
0.733 0.581 0.987
0.000 0.500 0.500
0.223 0.786 0.721
0.706 0.854 0.560
0.267 0.419 0.013
0.500 0.500 0.500
```

Properties
Size of the total moment = 0.00 μB per cell
Offset from the most stable computed form = 0 meV/atom
Crystal system = triclinic
E_form = 0.12 eV/atom
Symmetry = P-1 (2)

***

# 3
# Na4PrTl5

A relaxed structure of Na4PrTl5 (PBE, Alexandria via LeMat-Bulk).

POSCAR file:
```
Na4PrTl5
1.0
-2.102 2.126 2.423
-0.101 -2.934 2.488
16.012 6.440 8.242
Tl Pr Na
5 1 4
direct
0.500 0.500 0.108
0.500 0.500 0.892
0.500 0.500 0.300
0.500 0.500 0.500
0.500 0.500 0.700
0.000 0.000 0.000
0.000 0.000 0.599
0.000 0.000 0.796
0.000 0.000 0.204
0.000 0.000 0.401
```

Properties
Size of the total moment = 0.00 μB per cell
Crystal system = tetragonal
E_form = -0.15 eV/atom
Symmetry = P4/mmm (123)

***

# 4
# ReB3S

A relaxed structure of ReB3S (PBE, Alexandria via LeMat-Bulk).

POSCAR file:
```
ReB3S
1.0
4.194 0.000 0.000
0.000 4.194 0.000
0.000 0.000 4.194
B S Re
3 1 1
direct
0.000 0.000 0.500
0.000 0.500 0.000
0.500 0.000 0.000
0.500 0.500 0.500
0.000 0.000 0.000
```

Properties
Size of the total moment = 1.90 μB per cell
Offset from the most stable computed form = 0 meV/atom
ΔE_f (raw) = 1.630 eV per atom
Crystal system = cubic
Symmetry = Pm-3m (221)